Record 1
ScTlHW2 | PBE | optimized geometry

a b c (Å): 4.0132 4.0132 4.7998
angles (deg): 90.00 90.00 90.00
Atoms (fractional coordinates):
Sc: 0.0000 0.0000 0.0000
Tl: 0.5000 0.5000 0.0000
H: 0.5000 0.5000 0.5000
W: 0.0000 0.5000 0.5000
W: 0.5000 0.0000 0.5000

Calculated values
* raw total energy: -35.747 eV per cell
* DOS(E_F): 2.246 states/eV per cell
* volume: 15.46 A^3/atom

---

Record 2
YSc2TlH | PBE | optimized geometry

a b c (Å): 4.6177 4.6177 4.6748
angles (deg): 90.00 90.00 90.00
Atoms (fractional coordinates):
Y: 0.0000 0.0000 0.0000
Sc: 0.0000 0.5000 0.5000
Sc: 0.5000 0.0000 0.5000
Tl: 0.5000 0.5000 0.0000
H: 0.0000 0.0000 0.5000

Calculated values
* raw total energy: -26.375 eV per cell
* DOS(E_F): 3.587 states/eV per cell
* volume: 19.94 A^3/atom